w:
SrMgAl2Rh | Alexandria via LeMat-Bulk | PBE-GGA | optimized geometry; symmetry = P4/mmm, No. 123; DOS(E_F) = 0.845 states/eV/atom
1.0
5.0249 0.0000 0.0000
0.0000 4.8451 0.0000
0.0000 0.0000 5.0249
Al Sr Rh Mg
2 1 1 1
direct
0.5000 0.0000 0.0000 Al
0.0000 0.0000 0.5000 Al
0.5000 0.5000 0.5000 Sr
0.0000 0.5000 0.0000 Rh
0.0000 0.0000 0.0000 Mg

x:
SrMgAl2Rh | Alexandria via LeMat-Bulk | PBE-GGA | optimized geometry; symmetry = P4/mmm, No. 123; DOS(E_F) = 0.805 states/eV/atom
1.0
4.8038 0.0000 0.0000
0.0000 4.8038 0.0000
0.0000 0.0000 4.9955
Al Mg Rh Sr
2 1 1 1
direct
0.0000 0.5000 0.0000 Al
0.5000 0.0000 0.0000 Al
0.0000 0.0000 0.5000 Mg
0.0000 0.0000 0.0000 Rh
0.5000 0.5000 0.5000 Sr

Relative energies, in meV per atom, with the most stable structure set to zero: w 783; x 0.

w:
MgAl2Ru2 | Alexandria via LeMat-Bulk | PBE-GGA | optimized geometry; symmetry = P4/mbm, No. 127; DOS(E_F) = 0.139 states/eV/atom
1.0
-0.0683 -6.1141 3.2615
4.2299 -2.6203 -4.8235
2.5072 0.8876 1.7165
Al Ru Mg
4 4 2
direct
0.1438 0.6438 0.5000 Al
0.3562 0.1438 0.5000 Al
0.8562 0.3562 0.5000 Al
0.6438 0.8562 0.5000 Al
0.1506 0.3494 0.0000 Ru
0.6506 0.1506 0.0000 Ru
0.8494 0.6506 0.0000 Ru
0.3494 0.8494 0.0000 Ru
0.5000 0.5000 0.0000 Mg
0.0000 0.0000 0.0000 Mg

x:
MgAl2Ru2 | Alexandria via LeMat-Bulk | PBE-GGA | optimized geometry; symmetry = P4/mbm, No. 127; DOS(E_F) = 0.353 states/eV/atom
1.0
6.9733 0.0000 0.0000
0.0000 6.9733 0.0000
0.0000 0.0000 3.0647
Al Ru Mg
4 4 2
direct
0.1326 0.3674 0.0000 Al
0.6326 0.1326 0.0000 Al
0.3674 0.8674 0.0000 Al
0.8674 0.6326 0.0000 Al
0.8383 0.3383 0.5000 Ru
0.1617 0.6617 0.5000 Ru
0.3383 0.1617 0.5000 Ru
0.6617 0.8383 0.5000 Ru
0.5000 0.5000 0.0000 Mg
0.0000 0.0000 0.0000 Mg

Relative energies, in meV per atom, with the most stable structure set to zero: w 33; x 0.

w:
Mg3AlRu | Alexandria via LeMat-Bulk | PBE-GGA | optimized geometry; symmetry = Pm-3m, No. 221; DOS(E_F) = 0.702 states/eV/atom
1.0
4.9736 0.0000 0.0000
0.0000 4.9736 0.0000
0.0000 0.0000 4.9736
Mg Ru Al
3 1 1
direct
0.0000 0.0000 0.5000 Mg
0.0000 0.5000 0.0000 Mg
0.5000 0.0000 0.0000 Mg
0.5000 0.5000 0.5000 Ru
0.0000 0.0000 0.0000 Al

x:
Mg3AlRu | Alexandria via LeMat-Bulk | PBE-GGA | optimized geometry; symmetry = Pm-3m, No. 221; DOS(E_F) = 0.475 states/eV/atom
1.0
-3.1480 -2.9535 2.3863
2.4737 0.7566 4.1996
-2.8808 3.8771 0.9984
Ru Al Mg
1 1 3
direct
0.0000 0.0000 0.0000 Ru
0.5000 0.5000 0.5000 Al
0.0000 0.5000 0.0000 Mg
0.0000 0.0000 0.5000 Mg
0.5000 0.0000 0.0000 Mg

Relative energies, in meV per atom, with the most stable structure set to zero: w 566; x 0.

w:
Mg2AlS2 | Alexandria via LeMat-Bulk | PBE-GGA | optimized geometry; symmetry = P4/mbm, No. 127; DOS(E_F) = 0.308 states/eV/atom
1.0
7.2521 0.0000 0.0000
0.0000 7.2521 0.0000
0.0000 0.0000 3.4431
Mg Al S
4 2 4
direct
0.3467 0.1533 0.5000 Mg
0.8467 0.3467 0.5000 Mg
0.1533 0.6533 0.5000 Mg
0.6533 0.8467 0.5000 Mg
0.5000 0.5000 0.0000 Al
0.0000 0.0000 0.0000 Al
0.3430 0.8430 0.0000 S
0.1570 0.3430 0.0000 S
0.6570 0.1570 0.0000 S
0.8430 0.6570 0.0000 S

x:
Mg2AlS2 | Alexandria via LeMat-Bulk | PBE-GGA | optimized geometry; symmetry = I4/mmm, No. 139; DOS(E_F) = 0.825 states/eV/atom
1.0
-1.4228 -3.2814 -2.4771
-2.2792 -1.5521 3.3652
-6.6297 0.9324 -1.2478
Al Mg S
1 2 2
direct
0.0000 0.0000 0.0000 Al
0.7500 0.2500 0.5000 Mg
0.2500 0.7500 0.5000 Mg
0.3538 0.3538 0.2925 S
0.6462 0.6462 0.7075 S

Relative energies, in meV per atom, with the most stable structure set to zero: w 0; x 91.

w:
Mg2Al2Sb | Alexandria via LeMat-Bulk | PBE-GGA | optimized geometry; symmetry = P4/mbm, No. 127; DOS(E_F) = 0.513 states/eV/atom
1.0
8.2279 0.0000 0.0000
0.0000 8.2279 0.0000
0.0000 0.0000 3.2265
Al Sb Mg
4 2 4
direct
0.3276 0.1724 0.5000 Al
0.8276 0.3276 0.5000 Al
0.1724 0.6724 0.5000 Al
0.6724 0.8276 0.5000 Al
0.5000 0.5000 0.0000 Sb
0.0000 0.0000 0.0000 Sb
0.3733 0.8733 0.0000 Mg
0.1267 0.3733 0.0000 Mg
0.8733 0.6267 0.0000 Mg
0.6267 0.1267 0.0000 Mg

x:
Mg2Al2Sb | Alexandria via LeMat-Bulk | PBE-GGA | optimized geometry; symmetry = P4/mbm, No. 127; DOS(E_F) = 0.303 states/eV/atom
1.0
8.4444 0.0000 0.0000
0.0000 8.4444 0.0000
0.0000 0.0000 3.0282
Mg Al Sb
4 4 2
direct
0.8151 0.3151 0.5000 Mg
0.3151 0.1849 0.5000 Mg
0.6849 0.8151 0.5000 Mg
0.1849 0.6849 0.5000 Mg
0.3880 0.8880 0.0000 Al
0.1120 0.3880 0.0000 Al
0.6120 0.1120 0.0000 Al
0.8880 0.6120 0.0000 Al
0.0000 0.0000 0.0000 Sb
0.5000 0.5000 0.0000 Sb

Relative energies, in meV per atom, with the most stable structure set to zero: w 102; x 0.

w:
MgAlSb3 | Alexandria via LeMat-Bulk | PBE-GGA | optimized geometry; symmetry = Pm-3m, No. 221; DOS(E_F) = 0.848 states/eV/atom
1.0
-0.7334 2.9129 -4.3712
-3.7753 -3.3611 -1.6063
-3.6523 2.8894 2.5382
Sb Mg Al
3 1 1
direct
0.5000 0.0000 0.0000 Sb
0.0000 0.5000 0.0000 Sb
0.0000 0.0000 0.5000 Sb
0.5000 0.5000 0.5000 Mg
0.0000 0.0000 0.0000 Al

x:
MgAlSb3 | Alexandria via LeMat-Bulk | PBE-GGA | optimized geometry; symmetry = Pm-3m, No. 221; DOS(E_F) = 0.653 states/eV/atom
1.0
5.3923 0.0000 0.0000
0.0000 5.3923 0.0000
0.0000 0.0000 5.3923
Sb Al Mg
3 1 1
direct
0.0000 0.5000 0.0000 Sb
0.0000 0.0000 0.5000 Sb
0.5000 0.0000 0.0000 Sb
0.5000 0.5000 0.5000 Al
0.0000 0.0000 0.0000 Mg

Relative energies, in meV per atom, with the most stable structure set to zero: w 0; x 212.

w:
MgAl2Sb2 | Alexandria via LeMat-Bulk | PBE-GGA | optimized geometry; symmetry = P4/mbm, No. 127; DOS(E_F) = 0.469 states/eV/atom
1.0
-0.3834 -1.1295 -7.7850
7.4364 -2.5941 0.0102
-1.2470 -3.5725 0.5797
Sb Mg Al
4 2 4
direct
0.1670 0.3330 0.0000 Sb
0.3330 0.8330 0.0000 Sb
0.6670 0.1670 0.0000 Sb
0.8330 0.6670 0.0000 Sb
0.5000 0.5000 0.0000 Mg
0.0000 0.0000 0.0000 Mg
0.8700 0.3700 0.5000 Al
0.6300 0.8700 0.5000 Al
0.1300 0.6300 0.5000 Al
0.3700 0.1300 0.5000 Al

x:
MgAl2Sb2 | Alexandria via LeMat-Bulk | PBE-GGA | optimized geometry; symmetry = I4/mmm, No. 139; DOS(E_F) = 0.340 states/eV/atom
1.0
4.1118 0.0000 0.0000
0.0000 4.1118 0.0000
2.0559 2.0559 7.3752
Al Sb Mg
2 2 1
direct
0.2500 0.7500 0.5000 Al
0.7500 0.2500 0.5000 Al
0.6174 0.6174 0.7652 Sb
0.3826 0.3826 0.2348 Sb
0.0000 0.0000 0.0000 Mg

Relative energies, in meV per atom, with the most stable structure set to zero: w 33; x 0.

w:
MgAl2Sb2 | Alexandria via LeMat-Bulk | PBE-GGA | optimized geometry; symmetry = P-3m1, No. 164; DOS(E_F) = 0.249 states/eV/atom
1.0
-1.2849 0.6359 4.7288
-2.4753 -3.2132 -2.8223
3.7037 -4.2376 1.5762
Al Sb Mg
2 2 1
direct
0.3333 0.6667 0.7418 Al
0.6667 0.3333 0.2582 Al
0.6667 0.3333 0.7493 Sb
0.3333 0.6667 0.2507 Sb
0.0000 0.0000 0.0000 Mg

x:
MgAl2Sb2 | Alexandria via LeMat-Bulk | PBE-GGA | optimized geometry; symmetry = P4/mbm, No. 127; DOS(E_F) = 0.443 states/eV/atom
1.0
-0.8053 -7.6642 -0.7897
7.6985 -0.7683 -0.3941
0.1522 -0.4034 3.7594
Mg Sb Al
2 4 4
direct
0.0000 0.0000 0.0000 Mg
0.5000 0.5000 0.0000 Mg
0.8265 0.3265 0.5000 Sb
0.3265 0.1735 0.5000 Sb
0.6735 0.8265 0.5000 Sb
0.1735 0.6735 0.5000 Sb
0.3754 0.8754 0.0000 Al
0.8754 0.6246 0.0000 Al
0.1246 0.3754 0.0000 Al
0.6246 0.1246 0.0000 Al

Relative energies, in meV per atom, with the most stable structure set to zero: w 0; x 93.